Record 1
! CoH2Se PBE optimized geometry; values from VASP
! DFT total energy = -13.89 eV for the cell shown
&SYSTEM
  ibrav = 0, nat = 4, ntyp = 3
/
ATOMIC_SPECIES
Co 58.93 Co.upf
H 1.01 H.upf
Se 78.96 Se.upf
ATOMIC_POSITIONS angstrom
Co 0.000 0.000 0.000
H 1.300 1.300 1.300
H 3.899 3.899 3.899
Se 2.599 2.599 2.599
CELL_PARAMETERS angstrom
0.000 2.599 2.599
2.599 0.000 2.599
2.599 2.599 0.000

Record 2
! Tb5ZrSi4 PBE optimized geometry; values from VASP
! formation energy without anion corrections = -462 meV per atom
&SYSTEM
  ibrav = 0, nat = 10, ntyp = 3
/
ATOMIC_SPECIES
Tb 158.93 Tb.upf
Zr 91.22 Zr.upf
Si 28.09 Si.upf
ATOMIC_POSITIONS angstrom
Tb 0.000 0.000 0.000
Tb 5.907 0.000 0.560
Tb 4.350 0.000 4.065
Tb 11.000 0.000 2.807
Tb 9.443 0.000 6.312
Zr -1.530 0.000 3.436
Si 1.269 0.000 4.676
Si 8.400 0.000 1.800
Si 6.950 0.000 5.072
Si 14.081 0.000 2.196
CELL_PARAMETERS angstrom
9.205 -2.077 0.000
9.205 2.077 0.000
-3.060 0.000 6.872

Record 3
! Be2Al2Cd PBE optimized geometry; values from VASP
! ΔH_f (0 K) = 0.41 eV/atom
&SYSTEM
  ibrav = 0, nat = 5, ntyp = 3
/
ATOMIC_SPECIES
Be 9.01 Be.upf
Al 26.98 Al.upf
Cd 112.41 Cd.upf
ATOMIC_POSITIONS angstrom
Be 1.860 0.000 2.901
Be 0.000 1.860 2.901
Al 0.000 0.000 1.327
Al 0.000 0.000 10.278
Cd 0.000 0.000 5.802
CELL_PARAMETERS angstrom
-1.860 1.860 5.802
1.860 -1.860 5.802
1.860 1.860 -5.802

Record 4
! Tc2BRh PBE optimized geometry; values from VASP
! ΔH_f (0 K) = -0.07 eV/atom
&SYSTEM
  ibrav = 0, nat = 4, ntyp = 3
/
ATOMIC_SPECIES
Tc 98.00 Tc.upf
B 10.81 B.upf
Rh 102.91 Rh.upf
ATOMIC_POSITIONS angstrom
Tc 0.000 0.000 0.000
Tc 0.000 0.000 4.358
B 0.000 0.000 12.754
Rh 0.000 0.000 16.213
CELL_PARAMETERS angstrom
1.438 0.830 7.041
-1.438 0.830 7.041
0.000 -1.661 7.041

Record 5
! ZnCd2Ag PBE optimized geometry; values from VASP
! ΔH_f (0 K) = 0.08 eV/atom
&SYSTEM
  ibrav = 0, nat = 4, ntyp = 3
/
ATOMIC_SPECIES
Zn 65.41 Zn.upf
Cd 112.41 Cd.upf
Ag 107.87 Ag.upf
ATOMIC_POSITIONS angstrom
Zn 0.000 0.000 0.000
Cd 1.678 1.678 1.678
Cd 3.356 3.356 3.356
Ag 5.035 5.035 5.035
CELL_PARAMETERS angstrom
0.000 3.356 3.356
3.356 0.000 3.356
3.356 3.356 0.000

Record 6
! LiGdDyGe PBE optimized geometry; values from VASP
! ΔH_f (0 K) = -0.41 eV/atom
&SYSTEM
  ibrav = 0, nat = 4, ntyp = 4
/
ATOMIC_SPECIES
Li 6.94 Li.upf
Gd 157.25 Gd.upf
Dy 162.50 Dy.upf
Ge 72.64 Ge.upf
ATOMIC_POSITIONS angstrom
Li 0.000 0.000 0.000
Gd 1.783 1.783 1.783
Dy 5.348 5.348 5.348
Ge 3.565 3.565 3.565
CELL_PARAMETERS angstrom
0.000 3.565 3.565
3.565 0.000 3.565
3.565 3.565 0.000

Record 7
! RbTe3Ru PBE optimized geometry; values from VASP
! formation energy without anion corrections = -4 meV per atom
&SYSTEM
  ibrav = 0, nat = 5, ntyp = 3
/
ATOMIC_SPECIES
Rb 85.47 Rb.upf
Te 127.60 Te.upf
Ru 101.07 Ru.upf
ATOMIC_POSITIONS angstrom
Rb 0.000 0.000 0.000
Te 0.000 2.710 2.710
Te 2.710 0.000 2.710
Te 2.710 2.710 0.000
Ru 2.710 2.710 2.710
CELL_PARAMETERS angstrom
5.419 0.000 0.000
0.000 5.419 0.000
0.000 0.000 5.419

Record 8
! LiCaB3 PBE optimized geometry; values from VASP
! ΔH_f (0 K) = 1.33 eV/atom
&SYSTEM
  ibrav = 0, nat = 5, ntyp = 3
/
ATOMIC_SPECIES
Li 6.94 Li.upf
Ca 40.08 Ca.upf
B 10.81 B.upf
ATOMIC_POSITIONS angstrom
Li 0.000 0.000 0.000
Ca 1.971 1.971 1.971
B 0.000 0.000 1.971
B 0.000 1.971 0.000
B 1.971 0.000 0.000
CELL_PARAMETERS angstrom
3.942 0.000 0.000
0.000 3.942 0.000
0.000 0.000 3.942

Record 9
! K3TmU2S6 PBE optimized geometry; values from VASP
! formation energy without anion corrections = -1535 meV per atom
&SYSTEM
  ibrav = 0, nat = 12, ntyp = 4
/
ATOMIC_SPECIES
K 39.10 K.upf
Tm 168.93 Tm.upf
U 238.03 U.upf
S 32.06 S.upf
ATOMIC_POSITIONS angstrom
K 0.000 0.000 0.000
K 3.490 2.014 0.000
K 3.490 -2.014 0.000
Tm 2.326 0.000 3.706
U 2.326 4.030 3.706
U 2.326 -4.030 3.706
S 1.176 1.993 2.203
S 0.024 0.000 5.209
S 1.176 -1.993 2.203
S 3.477 1.993 5.210
S 4.628 0.000 2.204
S 3.477 -1.993 5.210
CELL_PARAMETERS angstrom
3.490 -6.045 0.000
3.490 6.045 0.000
-2.328 0.000 7.413

Record 10
! GdErPdPb PBE optimized geometry; values from VASP
! ΔH_f (0 K) = -0.61 eV/atom
&SYSTEM
  ibrav = 0, nat = 4, ntyp = 4
/
ATOMIC_SPECIES
Gd 157.25 Gd.upf
Er 167.26 Er.upf
Pd 106.42 Pd.upf
Pb 207.20 Pb.upf
ATOMIC_POSITIONS angstrom
Gd 0.000 0.000 0.000
Er 3.685 3.685 3.685
Pd 5.528 5.528 5.528
Pb 1.843 1.843 1.843
CELL_PARAMETERS angstrom
0.000 3.685 3.685
3.685 0.000 3.685
3.685 3.685 0.000

Record 11
! TaMnNb2 PBE optimized geometry; values from VASP
! ΔH_f (0 K) = -0.05 eV/atom
&SYSTEM
  ibrav = 0, nat = 8, ntyp = 3
/
ATOMIC_SPECIES
Ta 180.95 Ta.upf
Mn 54.94 Mn.upf
Nb 92.91 Nb.upf
ATOMIC_POSITIONS angstrom
Ta 0.000 0.000 1.743
Ta 0.000 0.000 11.255
Mn 2.245 0.000 3.249
Mn 0.000 2.245 3.249
Nb 2.245 0.000 0.000
Nb 0.000 0.000 4.769
Nb 0.000 2.245 0.000
Nb 0.000 0.000 8.229
CELL_PARAMETERS angstrom
-2.245 2.245 6.499
2.245 -2.245 6.499
2.245 2.245 -6.499

Record 12
! Ba4Ca2Cr PBE optimized geometry; values from VASP
! ΔH_f (0 K) = 0.44 eV/atom
&SYSTEM
  ibrav = 0, nat = 7, ntyp = 3
/
ATOMIC_SPECIES
Ba 137.33 Ba.upf
Ca 40.08 Ca.upf
Cr 52.00 Cr.upf
ATOMIC_POSITIONS angstrom
Ba 3.147 0.000 0.000
Ba 0.000 0.000 3.399
Ba 0.000 3.147 0.000
Ba 0.000 0.000 16.685
Ca 0.000 0.000 7.575
Ca 0.000 0.000 12.509
Cr 0.000 0.000 0.000
CELL_PARAMETERS angstrom
-3.147 3.147 10.042
3.147 -3.147 10.042
3.147 3.147 -10.042

Record 13
! TbCoGe2 PBE optimized geometry; values from VASP
! ΔH_f (0 K) = -0.63 eV/atom
&SYSTEM
  ibrav = 0, nat = 16, ntyp = 3
/
ATOMIC_SPECIES
Tb 158.93 Tb.upf
Co 58.93 Co.upf
Ge 72.64 Ge.upf
ATOMIC_POSITIONS angstrom
Tb 1.185 1.038 1.285
Tb 2.231 3.113 6.328
Tb 4.601 1.038 3.757
Tb 5.647 3.113 8.799
Co 0.077 3.113 3.821
Co 3.339 1.038 8.863
Co 3.493 3.113 1.221
Co 6.755 1.038 6.263
Ge 0.950 1.038 8.321
Ge 1.162 1.038 4.317
Ge 2.254 3.113 9.359
Ge 2.466 3.113 3.278
Ge 4.366 1.038 6.806
Ge 4.578 1.038 0.726
Ge 5.670 3.113 5.768
Ge 5.882 3.113 1.764
CELL_PARAMETERS angstrom
6.832 0.000 0.000
0.000 4.150 0.000
0.000 0.000 10.085

Record 14
! La2Pm5Sm3 PBE optimized geometry; values from VASP
! ΔH_f (0 K) = 0.39 eV/atom
&SYSTEM
  ibrav = 0, nat = 20, ntyp = 3
/
ATOMIC_SPECIES
La 138.91 La.upf
Pm 145.00 Pm.upf
Sm 150.36 Sm.upf
ATOMIC_POSITIONS angstrom
La 1.098 2.055 0.000
La 6.060 6.614 0.000
La -1.098 2.055 4.147
La 3.864 6.614 4.147
Pm 4.962 4.502 -2.073
Pm 3.976 2.302 0.000
Pm 4.962 0.000 2.073
Pm 3.976 -2.302 4.147
Pm 0.000 4.167 2.073
Pm 4.962 4.502 2.073
Pm 0.986 10.972 0.000
Pm 0.000 8.670 2.073
Pm 0.986 6.367 4.147
Pm 0.000 4.167 6.220
Sm 7.420 2.166 0.000
Sm 0.000 0.000 2.073
Sm 2.459 6.504 0.000
Sm 2.503 2.166 4.147
Sm 0.000 0.000 6.220
Sm -2.459 6.504 4.147
CELL_PARAMETERS angstrom
-4.962 8.670 4.147
4.962 -8.670 4.147
4.962 8.670 -4.147

Record 15
! NdMg2ReN4 PBE optimized geometry; values from VASP
! formation energy without anion corrections = -577 meV per atom
&SYSTEM
  ibrav = 0, nat = 16, ntyp = 4
/
ATOMIC_SPECIES
Nd 144.24 Nd.upf
Mg 24.30 Mg.upf
Re 186.21 Re.upf
N 14.01 N.upf
ATOMIC_POSITIONS angstrom
Nd 1.661 5.010 8.248
Nd 1.661 -5.010 2.749
Mg 1.661 1.317 5.830
Mg 1.661 1.317 10.667
Mg 1.661 -1.317 0.331
Mg 1.661 -1.317 5.168
Re 1.661 3.672 2.749
Re 1.661 -3.672 8.248
N 0.000 0.000 0.000
N 0.000 0.000 5.499
N 1.661 2.616 1.286
N 1.661 2.616 4.213
N 1.661 1.026 8.248
N 1.661 -1.026 2.749
N 1.661 -2.616 6.785
N 1.661 -2.616 9.712
CELL_PARAMETERS angstrom
1.661 -5.861 0.000
1.661 5.861 0.000
0.000 0.000 10.998

Record 16
! Tl4GaI5 PBE optimized geometry; values from VASP
! formation energy without anion corrections = -595 meV per atom
&SYSTEM
  ibrav = 0, nat = 10, ntyp = 3
/
ATOMIC_SPECIES
Tl 204.38 Tl.upf
Ga 69.72 Ga.upf
I 126.90 I.upf
ATOMIC_POSITIONS angstrom
Tl 7.742 1.065 0.000
Tl 1.065 3.332 0.000
Tl 4.472 2.205 3.518
Tl -2.205 4.472 3.518
Ga 0.000 0.000 3.404
I 0.000 0.000 0.148
I 4.448 2.355 0.002
I 3.181 -1.089 3.520
I 2.355 6.626 0.002
I 1.089 3.181 3.520
CELL_PARAMETERS angstrom
-5.537 5.537 3.518
5.537 -5.537 3.518
5.537 5.537 -3.518

Record 17
! LaAgAu PBE optimized geometry; values from VASP
! ΔH_f (0 K) = -0.52 eV/atom
&SYSTEM
  ibrav = 0, nat = 3, ntyp = 3
/
ATOMIC_SPECIES
La 138.91 La.upf
Ag 107.87 Ag.upf
Au 196.97 Au.upf
ATOMIC_POSITIONS angstrom
La 0.000 0.000 0.000
Ag 0.000 0.000 3.087
Au 0.000 0.000 6.293
CELL_PARAMETERS angstrom
-1.963 1.963 4.754
1.963 -1.963 4.754
1.963 1.963 -4.754

Record 18
! LaCeMg2Hg2 PBE optimized geometry; values from VASP
! ΔH_f (0 K) = -0.32 eV/atom
&SYSTEM
  ibrav = 0, nat = 6, ntyp = 4
/
ATOMIC_SPECIES
La 138.91 La.upf
Ce 140.12 Ce.upf
Mg 24.30 Mg.upf
Hg 200.59 Hg.upf
ATOMIC_POSITIONS angstrom
La 0.000 0.000 0.000
Ce 0.000 0.000 3.352
Mg 0.000 2.969 4.968
Mg 2.571 1.485 1.736
Hg 0.000 2.969 1.746
Hg 2.571 1.485 4.958
CELL_PARAMETERS angstrom
5.143 0.000 0.000
-2.571 4.454 0.000
0.000 0.000 6.704

Record 19
! Na3LiAs2S6 PBE optimized geometry; values from VASP
! formation energy without anion corrections = -587 meV per atom
&SYSTEM
  ibrav = 0, nat = 12, ntyp = 4
/
ATOMIC_SPECIES
Na 22.99 Na.upf
Li 6.94 Li.upf
As 74.92 As.upf
S 32.06 S.upf
ATOMIC_POSITIONS angstrom
Na 0.000 0.000 0.000
Na 3.179 1.833 0.000
Na 3.179 -1.833 0.000
Li 2.108 0.000 3.348
As 2.108 3.669 3.348
As 2.108 -3.669 3.348
S 1.008 1.915 1.946
S -0.102 0.000 4.766
S 1.008 -1.915 1.946
S 3.208 1.915 4.749
S 4.318 0.000 1.930
S 3.208 -1.915 4.749
CELL_PARAMETERS angstrom
3.179 -5.515 0.000
3.179 5.515 0.000
-2.143 0.000 6.696

Record 20
! Ac2Bi3Pd4Au PBE optimized geometry; values from VASP
! ΔH_f (0 K) = -0.65 eV/atom
&SYSTEM
  ibrav = 0, nat = 10, ntyp = 4
/
ATOMIC_SPECIES
Ac 227.00 Ac.upf
Bi 208.98 Bi.upf
Pd 106.42 Pd.upf
Au 196.97 Au.upf
ATOMIC_POSITIONS angstrom
Ac 0.000 2.421 2.650
Ac 2.421 0.000 8.063
Bi 0.000 2.421 9.339
Bi 2.421 0.000 1.374
Bi 2.421 2.421 5.357
Pd 0.000 0.000 0.000
Pd 0.000 2.421 6.659
Pd 2.421 0.000 4.055
Pd 2.421 2.421 0.000
Au 0.000 0.000 5.357
CELL_PARAMETERS angstrom
4.842 0.000 0.000
0.000 4.842 0.000
0.000 0.000 10.713

Record 21
! Sm3TmTe PBE optimized geometry; values from VASP
! formation energy without anion corrections = -299 meV per atom
&SYSTEM
  ibrav = 0, nat = 10, ntyp = 3
/
ATOMIC_SPECIES
Sm 150.36 Sm.upf
Tm 168.93 Tm.upf
Te 127.60 Te.upf
ATOMIC_POSITIONS angstrom
Sm 2.797 3.650 -1.944
Sm 0.277 2.009 0.000
Sm 5.316 2.009 0.000
Sm 2.797 0.368 1.950
Sm 0.277 2.009 3.894
Sm 5.316 2.009 3.894
Tm 2.797 3.764 1.945
Tm 2.797 0.254 5.839
Te 8.390 2.006 0.000
Te -2.797 2.013 3.895
CELL_PARAMETERS angstrom
-5.593 4.018 3.894
5.593 -4.018 3.894
5.593 4.018 -3.894

Record 22
! CoRe2SbCl PBE optimized geometry; values from VASP
! formation energy without anion corrections = 1485 meV per atom
&SYSTEM
  ibrav = 0, nat = 5, ntyp = 4
/
ATOMIC_SPECIES
Co 58.93 Co.upf
Re 186.21 Re.upf
Sb 121.76 Sb.upf
Cl 35.45 Cl.upf
ATOMIC_POSITIONS angstrom
Co 0.000 0.000 0.000
Re 0.000 2.322 0.000
Re 2.322 0.000 0.000
Sb 2.322 2.322 2.137
Cl 0.000 0.000 2.137
CELL_PARAMETERS angstrom
4.643 0.000 0.000
0.000 4.643 0.000
0.000 0.000 4.275

Record 23
! BaLi2Zn PBE optimized geometry; values from VASP
! ΔH_f (0 K) = -0.02 eV/atom
&SYSTEM
  ibrav = 0, nat = 4, ntyp = 3
/
ATOMIC_SPECIES
Ba 137.33 Ba.upf
Li 6.94 Li.upf
Zn 65.41 Zn.upf
ATOMIC_POSITIONS angstrom
Ba 0.000 0.000 0.000
Li 0.000 0.000 4.205
Li 1.910 1.910 2.783
Zn 1.910 1.910 5.497
CELL_PARAMETERS angstrom
3.821 0.000 0.000
0.000 3.821 0.000
0.000 0.000 7.669

Record 24
! Ni6MoIr3 PBE optimized geometry; values from VASP
! ΔH_f (0 K) = 0.20 eV/atom
&SYSTEM
  ibrav = 0, nat = 20, ntyp = 3
/
ATOMIC_SPECIES
Ni 58.69 Ni.upf
Mo 95.94 Mo.upf
Ir 192.22 Ir.upf
ATOMIC_POSITIONS angstrom
Ni -0.891 1.048 2.457
Ni 0.641 3.144 0.051
Ni -1.356 3.144 3.871
Ni 0.630 3.144 2.546
Ni 0.668 3.144 5.236
Ni -0.648 1.048 7.670
Ni 5.058 3.144 0.018
Ni 3.743 1.048 2.451
Ni 3.780 1.048 5.141
Ni 5.766 1.048 3.816
Ni 3.769 1.048 7.636
Ni 5.302 3.144 5.230
Mo 1.315 1.048 3.837
Mo 3.096 3.144 3.850
Ir -0.883 1.048 5.197
Ir 1.403 1.048 1.233
Ir 2.907 3.144 1.204
Ir 1.504 1.048 6.483
Ir 3.008 3.144 6.454
Ir 5.293 3.144 2.490
CELL_PARAMETERS angstrom
8.671 0.000 0.000
0.000 4.192 0.000
-4.261 0.000 7.687

N(E_F) values, unit states/eV/cell, following the record order: 1.857; 4.353; 1.529; 3.668; 2.664; 3.465; 7.426; 2.177; 6.781; 3.232; 6.181; 11.301; 8.709; 25.204; 1.615; 0.000; 1.774; 7.390; 6.825; 5.522; 14.706; 6.661; 1.218; 26.985.